# BeNb2Al3 (PBE, optimized geometry)
# Total moment = 0.00 μB/atom
# Energy relative to the elements = -344 meV per atom
# Fermi-level density of states = 0.24 states/eV per atom
data_BeNb2Al3
_chemical_formula_sum 'Be2 Nb4 Al6'
_cell_length_a 5.0873
_cell_length_b 5.0873
_cell_length_c 7.9660
_cell_angle_alpha 90.00
_cell_angle_beta 90.00
_cell_angle_gamma 120.00
_space_group_name_H-M_alt 'P 63/m m c'
_space_group_IT_number 194
_space_group_name_Hall '-P 6c 2c'
loop_
_atom_site_label
_atom_site_type_symbol
_atom_site_fract_x
_atom_site_fract_y
_atom_site_fract_z
Be1 Be 0.0000 0.0000 0.0000
Nb1 Nb 0.3333 0.6667 0.0634
Al1 Al 0.1684 0.3368 0.7500